A plane-wave DFT calculation with PBE-GGA was carried out for a relaxed Ta2TlCr crystal.

abc: 3.1015 3.1015 26.3980
angles: 90.00 90.00 120.00
Space group R-3m (No. 166, hexagonal axes)
One atom of each set of equivalent atoms:
1 Ta 0.0000 0.0000 0.2368 (multiplicity 6)
2 Tl 0.0000 0.0000 0.0000 (multiplicity 3)
3 Cr 0.0000 0.0000 0.5000 (multiplicity 3)

Results
- formation energy from the elements (meV per atom) = 460.6
- energy above the lowest structure with this stoichiometry (meV/atom) = 140.6